(1)
{
  "formula": "LaMgCr",
  "functional": "meta-GGA SCAN",
  "state": "single point on PBEsol structure",
  "sg": "F-43m, No. 216",
  "total_magnetization_mub_per_fu": 3.69,
  "n_ef_per_ev_atom": 0.729,
  "volume_a3_per_cell": 81,
  "ef_ev_per_atom": 0.3173,
  "lattice": [[-3.885, -1.856, 2.249], [0.525, -3.709, 3.091], [-0.615, 0.705, 4.766]],
  "species": ["La", "Mg", "Cr"],
  "frac_coords": [[0.000, 0.000, 0.000], [0.500, 0.500, 0.500], [0.250, 0.250, 0.250]]
}

***

(2)
{
  "formula": "Li16Nb2N8O",
  "functional": "meta-GGA SCAN",
  "state": "single point on PBEsol structure",
  "formation_energy_uncorrected_mev_per_atom": -1033.7,
  "sg": "R-3, No. 148",
  "total_magnetization_mub_per_fu": 0.00,
  "n_ef_per_ev_atom": 0.000,
  "volume_a3_per_cell": 257,
  "lattice": [[5.938, 0.000, 0.000], [2.969, 5.142, 0.000], [2.969, 1.714, 8.408]],
  "species": ["Li", "Li", "Li", "Nb", "Li", "N", "N", "Li", "Li", "Li", "N", "Li", "N", "Li", "Li", "Li", "N", "O", "Nb", "Li", "Li", "Li", "N", "N", "N", "Li", "Li"],
  "frac_coords": [[0.421, 0.832, 0.574], [0.168, 0.827, 0.426], [0.832, 0.173, 0.574], [0.750, 0.750, 0.749], [0.173, 0.421, 0.574], [0.538, 0.911, 0.327], [0.225, 0.538, 0.327], [0.944, 0.316, 0.071], [0.684, 0.331, 0.929], [0.056, 0.684, 0.929], [0.775, 0.462, 0.673], [0.579, 0.168, 0.426], [0.673, 0.673, 0.982], [0.078, 0.078, 0.767], [0.827, 0.579, 0.426], [0.417, 0.417, 0.749], [0.462, 0.089, 0.673], [0.000, 0.000, 0.000], [0.250, 0.250, 0.251], [0.669, 0.944, 0.071], [0.583, 0.583, 0.251], [0.922, 0.922, 0.233], [0.089, 0.775, 0.673], [0.327, 0.327, 0.018], [0.911, 0.225, 0.327], [0.331, 0.056, 0.929], [0.316, 0.669, 0.071]]
}

***

(3)
{
  "formula": "CsHf2WF",
  "functional": "meta-GGA SCAN",
  "state": "single point on PBEsol structure",
  "formation_energy_uncorrected_mev_per_atom": 2961.6,
  "sg": "P4/mmm, No. 123",
  "total_magnetization_mub_per_fu": 0.00,
  "n_ef_per_ev_atom": 0.774,
  "volume_a3_per_cell": 134,
  "lattice": [[-4.986, -1.035, -1.263], [1.599, -3.912, -3.108], [-0.305, -3.101, 3.746]],
  "species": ["Cs", "W", "Hf", "Hf", "F"],
  "frac_coords": [[0.000, 0.000, 0.000], [0.000, 0.000, 0.500], [0.000, 0.500, 0.000], [0.500, 0.000, 0.000], [0.500, 0.500, 0.500]]
}

***

(4)
{
  "formula": "LaNiAs3",
  "functional": "meta-GGA SCAN",
  "state": "single point on PBEsol structure",
  "sg": "Pm-3m, No. 221",
  "total_magnetization_mub_per_fu": 0.00,
  "n_ef_per_ev_atom": 0.593,
  "volume_a3_per_cell": 101,
  "ef_ev_per_atom": -0.5068,
  "lattice": [[-1.771, 0.983, 4.189], [-3.003, -3.528, -0.442], [3.082, -2.871, 1.977]],
  "species": ["Ni", "As", "La", "As", "As"],
  "frac_coords": [[0.000, 0.000, 0.000], [0.000, 0.500, 0.000], [0.500, 0.500, 0.500], [0.500, 0.000, 0.000], [0.000, 0.000, 0.500]]
}